Entry 1:
InAgAs2 after structural relaxation. Source: Alexandria, functional GGA-PBE.

Cell lengths 4.397, 4.397, 4.342 Å; angles 90.00, 90.00, 90.00 degrees
Fractional positions:
In  0.000  0.000  0.000
Ag  0.500  0.500  0.000
As  0.000  0.500  0.500
As  0.500  0.000  0.500

DFT formation energy = 0.27 eV per atom
raw total energy = -3.450 eV/atom

***

Entry 2:
Tb4AlHg2Au after structural relaxation. Source: Alexandria, functional GGA-PBE.

Cell lengths 9.020, 9.020, 9.020 Å; angles 33.54, 33.54, 33.54 degrees
Fractional positions:
Tb  0.123  0.123  0.123
Tb  0.373  0.373  0.373
Tb  0.627  0.627  0.627
Tb  0.877  0.877  0.877
Al  0.500  0.500  0.500
Hg  0.245  0.245  0.245
Hg  0.755  0.755  0.755
Au  0.000  0.000  0.000

DFT formation energy = -0.53 eV per atom
raw total energy = -3.801 eV/atom

***

Entry 3:
BaNaSe3 after structural relaxation. Source: Alexandria, functional GGA-PBE.

Cell lengths 5.303, 5.303, 5.303 Å; angles 90.00, 90.00, 90.00 degrees
Fractional positions:
Ba  0.000  0.000  0.000
Na  0.500  0.500  0.500
Se  0.000  0.500  0.500
Se  0.500  0.000  0.500
Se  0.500  0.500  0.000

energy relative to the lowest polymorph listed for this composition = 0.0000 eV/atom
formation energy from raw total energies = -594 meV/atom
raw total energy = -3.333 eV/atom

***

Entry 4:
Ni2HSe after structural relaxation. Source: Alexandria, functional GGA-PBE.

Cell lengths 5.653, 5.653, 5.653 Å; angles 133.28, 133.28, 68.21 degrees
Fractional positions:
Ni  0.006  0.625  0.881
Ni  0.375  0.256  0.381
Ni  0.744  0.125  0.119
Ni  0.875  0.994  0.619
H  0.000  0.000  0.000
H  0.750  0.250  0.500
Se  0.250  0.750  0.500
Se  0.500  0.500  0.000

energy relative to the lowest polymorph listed for this composition = 0.0000 eV/atom
raw total energy = -4.636 eV/atom